DFT (meta-GGA SCAN) results for a PBEsol-optimized structure of Ba2GaFeNi.

## Properties
E_form = 295 meV/atom
M_tot = 3.5 Bohr magnetons per cell
Fermi-level density of states = 3.82 states/eV/f.u.
Energy = -128.274 eV/cell

The structure in CIF format:
```
data_Ba2GaFeNi
_chemical_formula_sum 'Ba2 Ga1 Fe1 Ni1'
_cell_length_a 5.701
_cell_length_b 5.701
_cell_length_c 4.542
_cell_angle_alpha 90.00
_cell_angle_beta 90.00
_cell_angle_gamma 90.00
_space_group_name_H-M_alt 'P 1'
_space_group_IT_number 1
loop_
_space_group_symop_operation_xyz
'x,y,z'
loop_
_atom_site_label
_atom_site_type_symbol
_atom_site_fract_x
_atom_site_fract_y
_atom_site_fract_z
Ba1 Ba 0.000 0.500 0.000
Ba2 Ba 0.500 0.000 0.000
Ga1 Ga 0.000 0.000 0.500
Fe1 Fe 0.500 0.500 0.500
Ni1 Ni 0.000 0.000 0.000
```



DFT (meta-GGA SCAN) results for a PBEsol-optimized structure of Eu2SnSe5.

## Properties
M_tot = 25.1 Bohr magnetons per cell
Fermi-level density of states = 13.94 states/eV/f.u.
Uncorrected formation energy = -1.259 eV per atom
Energy = -507.624 eV/cell

The structure in CIF format:
```
data_Eu2SnSe5
_chemical_formula_sum 'Eu4 Sn2 Se10'
_cell_length_a 7.982
_cell_length_b 11.771
_cell_length_c 4.062
_cell_angle_alpha 90.00
_cell_angle_beta 90.00
_cell_angle_gamma 90.00
_space_group_name_H-M_alt 'P 1'
_space_group_IT_number 1
loop_
_space_group_symop_operation_xyz
'x,y,z'
loop_
_atom_site_label
_atom_site_type_symbol
_atom_site_fract_x
_atom_site_fract_y
_atom_site_fract_z
Eu1 Eu 0.091 0.174 0.000
Eu2 Eu 0.409 0.674 0.000
Eu3 Eu 0.591 0.326 0.000
Eu4 Eu 0.909 0.826 0.000
Sn1 Sn 0.000 0.500 0.500
Sn2 Sn 0.500 0.000 0.500
Se1 Se 0.000 0.000 0.500
Se2 Se 0.132 0.710 0.500
Se3 Se 0.212 0.439 0.000
Se4 Se 0.288 0.939 0.000
Se5 Se 0.368 0.210 0.500
Se6 Se 0.500 0.500 0.500
Se7 Se 0.632 0.790 0.500
Se8 Se 0.712 0.061 0.000
Se9 Se 0.788 0.561 0.000
Se10 Se 0.868 0.290 0.500
```



DFT (meta-GGA SCAN) results for a PBEsol-optimized structure of Ca2MgB2H16C2O18.

## Properties
M_tot = 0.0 Bohr magnetons per cell
Fermi-level density of states = 0.00 states/eV/f.u.
Energy = -592.974 eV/cell

The structure in CIF format:
```
data_Ca2MgB2H16C2O18
_chemical_formula_sum 'Ca4 Mg2 B4 H32 C4 O36'
_cell_length_a 10.546
_cell_length_b 6.619
_cell_length_c 11.286
_cell_angle_alpha 90.00
_cell_angle_beta 119.59
_cell_angle_gamma 90.00
_space_group_name_H-M_alt 'P 1'
_space_group_IT_number 1
loop_
_space_group_symop_operation_xyz
'x,y,z'
loop_
_atom_site_label
_atom_site_type_symbol
_atom_site_fract_x
_atom_site_fract_y
_atom_site_fract_z
Ca1 Ca 0.062 0.008 0.299
Ca2 Ca 0.062 0.492 0.799
Ca3 Ca 0.938 0.508 0.201
Ca4 Ca 0.938 0.992 0.701
Mg1 Mg 0.500 0.000 0.500
Mg2 Mg 0.500 0.500 0.000
B1 B 0.263 0.192 0.007
B2 B 0.263 0.308 0.507
B3 B 0.737 0.692 0.493
B4 B 0.737 0.808 0.993
H1 H 0.039 0.249 0.553
H2 H 0.039 0.251 0.053
H3 H 0.115 0.637 0.483
H4 H 0.115 0.863 0.983
H5 H 0.237 0.074 0.616
H6 H 0.237 0.426 0.116
H7 H 0.245 0.102 0.827
H8 H 0.245 0.398 0.327
H9 H 0.292 0.014 0.170
H10 H 0.292 0.486 0.670
H11 H 0.397 0.685 0.593
H12 H 0.397 0.815 0.093
H13 H 0.424 0.625 0.183
H14 H 0.424 0.875 0.683
H15 H 0.491 0.173 0.109
H16 H 0.491 0.327 0.609
H17 H 0.509 0.673 0.391
H18 H 0.509 0.827 0.891
H19 H 0.576 0.125 0.317
H20 H 0.576 0.375 0.817
H21 H 0.603 0.185 0.907
H22 H 0.603 0.315 0.407
H23 H 0.708 0.514 0.330
H24 H 0.708 0.986 0.830
H25 H 0.755 0.602 0.673
H26 H 0.755 0.898 0.173
H27 H 0.763 0.574 0.884
H28 H 0.763 0.926 0.384
H29 H 0.885 0.137 0.017
H30 H 0.885 0.363 0.517
H31 H 0.961 0.749 0.947
H32 H 0.961 0.751 0.447
C1 C 0.251 0.736 0.270
C2 C 0.251 0.764 0.770
C3 C 0.749 0.236 0.230
C4 C 0.749 0.264 0.730
O1 O 0.027 0.708 0.409
O2 O 0.027 0.792 0.909
O3 O 0.112 0.717 0.201
O4 O 0.112 0.783 0.701
O5 O 0.177 0.152 0.532
O6 O 0.177 0.348 0.032
O7 O 0.179 0.161 0.857
O8 O 0.179 0.339 0.357
O9 O 0.269 0.503 0.574
O10 O 0.269 0.997 0.074
O11 O 0.303 0.591 0.829
O12 O 0.303 0.909 0.329
O13 O 0.336 0.587 0.279
O14 O 0.336 0.913 0.779
O15 O 0.409 0.235 0.549
O16 O 0.409 0.265 0.049
O17 O 0.457 0.688 0.123
O18 O 0.457 0.812 0.623
O19 O 0.543 0.188 0.377
O20 O 0.543 0.312 0.877
O21 O 0.591 0.735 0.951
O22 O 0.591 0.765 0.451
O23 O 0.664 0.087 0.221
O24 O 0.664 0.413 0.721
O25 O 0.697 0.091 0.671
O26 O 0.697 0.409 0.171
O27 O 0.731 0.003 0.926
O28 O 0.731 0.497 0.426
O29 O 0.821 0.661 0.643
O30 O 0.821 0.839 0.143
O31 O 0.823 0.652 0.968
O32 O 0.823 0.848 0.468
O33 O 0.888 0.217 0.299
O34 O 0.888 0.283 0.799
O35 O 0.973 0.208 0.091
O36 O 0.973 0.292 0.591
```



DFT (meta-GGA SCAN) results for a PBEsol-optimized structure of HoSiRh.

## Properties
M_tot = 0.0 Bohr magnetons per cell
Fermi-level density of states = 1.34 states/eV/f.u.
Uncorrected formation energy = -1.174 eV per atom
Energy = -385.190 eV/cell

The structure in CIF format:
```
data_HoSiRh
_chemical_formula_sum 'Ho4 Si4 Rh4'
_cell_length_a 6.802
_cell_length_b 4.196
_cell_length_c 7.247
_cell_angle_alpha 90.00
_cell_angle_beta 90.00
_cell_angle_gamma 90.00
_space_group_name_H-M_alt 'P 1'
_space_group_IT_number 1
loop_
_space_group_symop_operation_xyz
'x,y,z'
loop_
_atom_site_label
_atom_site_type_symbol
_atom_site_fract_x
_atom_site_fract_y
_atom_site_fract_z
Ho1 Ho 0.002 0.250 0.188
Ho2 Ho 0.498 0.750 0.688
Ho3 Ho 0.502 0.250 0.312
Ho4 Ho 0.998 0.750 0.812
Si1 Si 0.204 0.250 0.606
Si2 Si 0.296 0.750 0.106
Si3 Si 0.704 0.250 0.894
Si4 Si 0.796 0.750 0.394
Rh1 Rh 0.154 0.750 0.431
Rh2 Rh 0.346 0.250 0.931
Rh3 Rh 0.654 0.750 0.069
Rh4 Rh 0.846 0.250 0.569
```



Among the records above, which one has the highest Fermi-level density of states?
Eu2SnSe5